(1)
First-principles (GGA-PBE) data for a relaxed structure of Er8BiSb2, as listed in Alexandria.

Results
Total DFT energy (no corrections): -4.893 eV/atom
Formation energy (no corrections): -501 kJ/mol of formula units
Space-group type: C2/m (12)
Crystal system: monoclinic
N(E_F): 12.5 states/eV/cell

Unit cell a=4.146 b=7.931 c=10.226 alpha=85.46 beta=101.70 gamma=90.00
Atoms (fractional coordinates):
1 Er 0.337 0.941 0.673
2 Er 0.203 0.379 0.407
3 Er 0.663 0.059 0.327
4 Er 0.402 0.376 0.803
5 Er 0.797 0.621 0.593
6 Er 0.598 0.624 0.197
7 Er 0.960 0.707 0.920
8 Er 0.040 0.293 0.080
9 Sb 0.196 0.780 0.391
10 Sb 0.804 0.220 0.609
11 Bi 0.500 0.000 0.000

(2)
First-principles (GGA-PBE) data for a relaxed structure of Ac2PuHg, as listed in Alexandria.

Results
Formation energy: -0.0798 eV/atom
Energy above the lowest structure with this stoichiometry: 0.00 eV per formula unit
Total DFT energy (no corrections): -5.792 eV/atom
Space-group type: P4/mmm (123)
Crystal system: tetragonal
N(E_F): 10.3 states/eV/cell

Unit cell a=3.916 b=3.916 c=9.174 alpha=90.00 beta=90.00 gamma=90.00
Last column: magnetic moment on the atom in μB.
Atoms (fractional coordinates):
1 Pu 0.500 0.500 0.500  5.74
2 Hg 0.500 0.500 0.000  -0.02
3 Ac 0.000 0.000 0.228  0.12
4 Ac 0.000 0.000 0.772  0.12

(3)
First-principles (GGA-PBE) data for a relaxed structure of ZnMoP2, as listed in Alexandria.

Results
Formation energy: 0.0073 eV/atom
Total DFT energy (no corrections): -5.724 eV/atom
Space-group type: C2/m (12)
Crystal system: monoclinic
N(E_F): 1.6 states/eV/cell

Unit cell a=4.402 b=4.402 c=4.823 alpha=85.00 beta=85.00 gamma=40.95
Atoms (fractional coordinates):
1 Mo 0.750 0.750 0.750
2 P 0.473 0.473 0.558
3 P 0.027 0.027 0.942
4 Zn 0.250 0.250 0.250

(4)
First-principles (GGA-PBE) data for a relaxed structure of Mn2AlCr, as listed in Alexandria.

Results
Formation energy: -0.0514 eV/atom
Total DFT energy (no corrections): -7.978 eV/atom
Space-group type: Pmm2 (25)
Crystal system: orthorhombic
N(E_F): 3.6 states/eV/cell

Unit cell a=2.916 b=2.937 c=5.810 alpha=90.00 beta=90.00 gamma=90.00
Last column: magnetic moment on the atom in μB.
Atoms (fractional coordinates):
1 Cr 0.500 0.500 0.769  1.60
2 Al 0.000 0.000 0.496  -0.03
3 Mn 0.000 0.000 0.994  -2.33
4 Mn 0.500 0.500 0.241  1.53

(5)
First-principles (GGA-PBE) data for a relaxed structure of Co2IrSe, as listed in Alexandria.

Results
Total DFT energy (no corrections): -6.339 eV/atom
Formation energy (no corrections): 116 kJ/mol of formula units
Space-group type: Cmmm (65)
Crystal system: orthorhombic
N(E_F): 4.1 states/eV/cell

Unit cell a=4.438 b=4.438 c=2.791 alpha=90.02 beta=90.02 gamma=108.77
Last column: magnetic moment on the atom in μB.
Atoms (fractional coordinates):
1 Ir 0.500 0.000 0.500  0.01
2 Co 0.000 0.000 0.000  0.31
3 Co 0.500 0.500 0.000  0.31
4 Se 0.000 0.500 0.500  -0.01

(6)
First-principles (GGA-PBE) data for a relaxed structure of Ac8Ni3RhBr4, as listed in Alexandria.

Results
Total DFT energy (no corrections): -4.942 eV/atom
Formation energy (no corrections): -1430 kJ/mol of formula units
Space-group type: C2/m (12)
Crystal system: monoclinic
N(E_F): 11.6 states/eV/cell

Unit cell a=8.660 b=9.650 c=8.663 alpha=116.72 beta=119.99 gamma=90.00
Atoms (fractional coordinates):
1 Ac 0.730 0.693 0.962
2 Ac 0.232 0.693 0.962
3 Ac 0.730 0.691 0.461
4 Ac 0.768 0.307 0.536
5 Ac 0.232 0.693 0.464
6 Ac 0.768 0.307 0.038
7 Ac 0.270 0.307 0.038
8 Ac 0.270 0.309 0.539
9 Ni 0.500 0.500 0.500
10 Ni 0.000 0.500 0.500
11 Ni 0.500 0.500 0.000
12 Br 0.000 0.000 0.500
13 Br 0.500 0.000 0.500
14 Br 0.000 0.000 0.000
15 Br 0.500 0.000 0.000
16 Rh 0.000 0.500 0.000

(7)
First-principles (GGA-PBE) data for a relaxed structure of MgPd3F, as listed in Alexandria.

Results
Total DFT energy (no corrections): -3.916 eV/atom
Formation energy (no corrections): -51 kJ/mol of formula units
Space-group type: Pm-3m (221)
Crystal system: cubic
N(E_F): 1.3 states/eV/cell

Unit cell a=4.388 b=4.388 c=4.388 alpha=90.00 beta=90.00 gamma=90.00
Atoms (fractional coordinates):
1 Pd 0.000 0.000 0.500
2 Pd 0.500 0.000 0.000
3 Pd 0.000 0.500 0.000
4 F 0.000 0.000 0.000
5 Mg 0.500 0.500 0.500

(8)
First-principles (GGA-PBE) data for a relaxed structure of RbInRhCl6, as listed in Alexandria.

Results
Total DFT energy (no corrections): -3.522 eV/atom
Formation energy (no corrections): -923 kJ/mol of formula units
Space-group type: C2 (5)
Crystal system: monoclinic

Unit cell a=6.747 b=6.526 c=7.375 alpha=88.72 beta=87.52 gamma=58.87
Last column: magnetic moment on the atom in μB.
Atoms (fractional coordinates):
1 Cl 0.987 0.374 0.321  0.01
2 Cl 0.004 0.626 0.715  0.07
3 Cl 0.644 0.981 0.315  0.00
4 Cl 0.376 0.981 0.685  0.00
5 Cl 0.638 0.374 0.679  0.01
6 Cl 0.370 0.626 0.285  0.07
7 In 0.326 0.349 0.500  -0.01
8 Rh 0.665 0.670 0.500  0.74
9 Rb 0.990 0.020 0.000  0.00

Looking at total moment for the records above, in order, we have 0.0 7.0 0.0 0.9 0.6 0.0 0.0 1.0 μB/f.u..
Looking at density for the records above, in order, we have 9.1 10.6 6.1 6.3 12.4 7.5 7.1 3.1 g/cm3.